## VNiO2 (PBE with a Hubbard U)

Data for a geometry-optimized VNiO2 structure.

Unit cell a=2.8038 b=2.8038 c=6.1977 alpha=90.00 beta=90.00 gamma=120.00
Space group P-6m2 (No. 187)
One atom of each set of equivalent atoms:
V1 0.0000 0.0000 0.0000 x1
Ni1 0.6667 0.3333 0.5000 x1
O1 0.6667 0.3333 0.1895 x2

Values from the calculation:
Its uncorrected energy is -0.225 hartree per atom. The value obtained for the distance to the lowest polymorph of the same formula is 194 meV per atom. The calculation puts the volume at 42 Å³ per cell. The calculation puts the density of states at the Fermi level at 0.43 states/eV/cell.